Below is an optimized crystal structure of AcNd2DyTl4, with properties calculated at the GGA-PBE level.

It has space group R-3m (No. 166, hexagonal axes), with a = 5.5687 Å, b = 5.5687 Å, c = 27.4811 Å, α = 90.00°, β = 90.00° and γ = 120.00°. Symmetry generates all atoms from Ac at (0.0000, 0.0000, 0.0000), Nd at (0.0000, 0.0000, 0.2484), Dy at (0.0000, 0.0000, 0.5000), Tl at (0.0000, 0.0000, 0.1283) and Tl at (0.0000, 0.0000, 0.3797).

The calculated volume comes out at 30.75 Å³/atom. For the energy, the calculation gives -0.140 Ha/atom. The energy of formation from the pure elements is -343 meV per atom.

***

Below is an optimized crystal structure of AcNd2DyTl2, with properties calculated at the GGA-PBE level.

It has space group Pmc2_1 (No. 26), with a = 4.913 Å, b = 9.613 Å, c = 8.587 Å, α = 90.00°, β = 90.00° and γ = 90.00°. Symmetry generates all atoms from Ac at (0.000, 0.083, 0.000), Nd at (0.000, 0.325, 0.385), Nd at (0.500, 0.421, 0.051), Dy at (0.500, 0.188, 0.665), Tl at (0.000, 0.372, 0.758) and Tl at (0.500, 0.124, 0.290).

The calculated volume comes out at 33.79 Å³/atom. For the energy, the calculation gives -0.150 Ha/atom. The energy of formation from the pure elements is -252 meV per atom.

***

Below is an optimized crystal structure of AcNd4Dy2Tm, with properties calculated at the GGA-PBE level.

It has space group P4/mmm (No. 123), with a = 5.970 Å, b = 5.970 Å, c = 7.832 Å, α = 90.00°, β = 90.00° and γ = 90.00°. Symmetry generates all atoms from Ac at (0.000, 0.000, 0.000), Nd at (0.000, 0.500, 0.272), Dy at (0.000, 0.000, 0.500), Dy at (0.500, 0.500, 0.000) and Tm at (0.500, 0.500, 0.500).

The calculated volume comes out at 34.89 Å³/atom. For the energy, the calculation gives -0.165 Ha/atom. The energy of formation from the pure elements is 120 meV per atom.

***

Below is an optimized crystal structure of Ac2Nd5DyTm, with properties calculated at the GGA-PBE level.

It has space group Cmc2_1 (No. 36), with a = 5.810 Å, b = 20.860 Å, c = 10.897 Å, α = 90.00°, β = 90.00° and γ = 90.00°. Symmetry generates all atoms from Ac at (0.000, 0.113, 0.000), Ac at (0.000, 0.117, 0.579), Nd at (0.000, 0.018, 0.284), Nd at (0.000, 0.280, 0.578), Nd at (0.000, 0.292, 0.967), Nd at (0.000, 0.383, 0.285), Nd at (0.000, 0.486, 0.010), Dy at (0.000, 0.405, 0.736) and Tm at (0.000, 0.204, 0.275).

The calculated volume comes out at 36.69 Å³/atom. For the energy, the calculation gives -0.163 Ha/atom. The energy of formation from the pure elements is 134 meV per atom.

***

Below is an optimized crystal structure of AcNd6Dy2Tm, with properties calculated at the GGA-PBE level.

It has space group C2/c (No. 15), with a = 9.413 Å, b = 15.538 Å, c = 9.710 Å, α = 90.00°, β = 95.52° and γ = 90.00°. Symmetry generates all atoms from Ac at (0.000, 0.027, 0.250), Nd at (0.058, 0.185, 0.946), Nd at (0.101, 0.390, 0.117), Nd at (0.218, 0.225, 0.313), Dy at (0.239, 0.445, 0.452) and Tm at (0.000, 0.414, 0.750).

The calculated volume comes out at 35.34 Å³/atom. For the energy, the calculation gives -0.166 Ha/atom. The energy of formation from the pure elements is 120 meV per atom.

***

Below is an optimized crystal structure of AcNdDy4Tm2, with properties calculated at the GGA-PBE level.

It has space group Imma (No. 74), with a = 6.934 Å, b = 11.881 Å, c = 13.406 Å, α = 90.00°, β = 90.00° and γ = 90.00°. Symmetry generates all atoms from Ac at (0.250, 0.250, 0.250), Nd at (0.000, 0.000, 0.000), Dy at (0.000, 0.015, 0.746), Dy at (0.248, 0.250, 0.513), Tm at (0.000, 0.000, 0.500) and Tm at (0.250, 0.250, 0.750).

The calculated volume comes out at 34.51 Å³/atom. For the energy, the calculation gives -0.150 Ha/atom. The energy of formation from the pure elements is 442 meV per atom.

***

Below is an optimized crystal structure of AcNdDy6Tm2, with properties calculated at the GGA-PBE level.

It has space group C2/c (No. 15), with a = 9.262 Å, b = 15.172 Å, c = 9.552 Å, α = 90.00°, β = 95.01° and γ = 90.00°. Symmetry generates all atoms from Ac at (0.000, 0.034, 0.250), Nd at (0.000, 0.411, 0.750), Dy at (0.063, 0.185, 0.943), Dy at (0.098, 0.388, 0.116), Dy at (0.215, 0.232, 0.323) and Tm at (0.244, 0.444, 0.451).

The calculated volume comes out at 33.43 Å³/atom. For the energy, the calculation gives -0.162 Ha/atom. The energy of formation from the pure elements is 132 meV per atom.

***

Below is an optimized crystal structure of AcNd2Dy4Tm, with properties calculated at the GGA-PBE level.

It has space group Imma (No. 74), with a = 6.917 Å, b = 11.964 Å, c = 13.445 Å, α = 90.00°, β = 90.00° and γ = 90.00°. Symmetry generates all atoms from Ac at (0.000, 0.000, 0.000), Nd at (0.000, 0.000, 0.500), Nd at (0.250, 0.250, 0.250), Dy at (0.000, 0.007, 0.742), Dy at (0.238, 0.250, 0.507) and Tm at (0.250, 0.250, 0.750).

The calculated volume comes out at 34.77 Å³/atom. For the energy, the calculation gives -0.152 Ha/atom. The energy of formation from the pure elements is 425 meV per atom.

***

Below is an optimized crystal structure of AcNdDy2Tm, with properties calculated at the GGA-PBE level.

It has space group Cmcm (No. 63), with a = 6.485 Å, b = 17.632 Å, c = 6.448 Å, α = 90.00°, β = 90.00° and γ = 90.00°. Symmetry generates all atoms from Ac at (0.000, 0.159, 0.250), Nd at (0.000, 0.347, 0.250), Dy at (0.247, 0.500, 0.000) and Tm at (0.000, 0.257, 0.750).

The calculated volume comes out at 36.87 Å³/atom. For the energy, the calculation gives -0.151 Ha/atom. The energy of formation from the pure elements is 393 meV per atom.

***

Below is an optimized crystal structure of AcNd3DyTm, with properties calculated at the GGA-PBE level.

It has space group C2/m (No. 12), with a = 20.838 Å, b = 5.860 Å, c = 7.110 Å, α = 90.00°, β = 91.31° and γ = 90.00°. Symmetry generates all atoms from Ac at (0.148, 0.000, 0.031), Nd at (0.016, 0.000, 0.739), Nd at (0.159, 0.500, 0.742), Nd at (0.219, 0.500, 0.279), Dy at (0.059, 0.500, 0.302) and Tm at (0.142, 0.000, 0.487).

The calculated volume comes out at 36.16 Å³/atom. For the energy, the calculation gives -0.160 Ha/atom. The energy of formation from the pure elements is 217 meV per atom.

***

Below is an optimized crystal structure of AcNdDyY2, with properties calculated at the GGA-PBE level.

It has space group Cmcm (No. 63), with a = 6.568 Å, b = 17.546 Å, c = 6.480 Å, α = 90.00°, β = 90.00° and γ = 90.00°. Symmetry generates all atoms from Ac at (0.000, 0.159, 0.250), Nd at (0.000, 0.346, 0.250), Dy at (0.000, 0.271, 0.750) and Y at (0.245, 0.500, 0.000).

The calculated volume comes out at 37.34 Å³/atom. For the energy, the calculation gives -0.180 Ha/atom. The energy of formation from the pure elements is 387 meV per atom.

***

Below is an optimized crystal structure of AcNd2DyY6, with properties calculated at the GGA-PBE level.

It has space group C2/c (No. 15), with a = 9.261 Å, b = 15.390 Å, c = 9.735 Å, α = 90.00°, β = 96.47° and γ = 90.00°. Symmetry generates all atoms from Ac at (0.000, 0.025, 0.250), Nd at (0.246, 0.444, 0.451), Dy at (0.000, 0.410, 0.750), Y at (0.062, 0.192, 0.941), Y at (0.101, 0.392, 0.115) and Y at (0.210, 0.227, 0.316).

The calculated volume comes out at 34.47 Å³/atom. For the energy, the calculation gives -0.205 Ha/atom. The energy of formation from the pure elements is 123 meV per atom.

***

Which value of calculated volume does entry 5 give?
35.34 Å³/atom